This record from the Alexandria database describes crystalline MgCuAgN2 at its relaxed geometry. The functional is GGA-PBE. Values from VASP.

```
&SYSTEM
  ibrav = 0, nat = 5, ntyp = 4
/
ATOMIC_SPECIES
Mg 24.30 Mg.upf
Cu 63.55 Cu.upf
Ag 107.87 Ag.upf
N 14.01 N.upf
ATOMIC_POSITIONS crystal
Mg 0.000 0.000 0.000
Cu 0.500 0.500 0.500
Ag 0.000 0.000 0.500
N 0.000 0.500 0.000
N 0.500 0.000 0.000
CELL_PARAMETERS angstrom
3.923 0.000 0.000
0.000 3.923 0.000
0.000 0.000 4.951
```

Values from the calculation:
Energy relative to the elements, uncorrected: 1531 meV per atom
Volume: 15.24 A^3/atom
Space group: P4/mmm (123)